Arrangement A

An optimized crystal structure of GaCuNiSn. Source: the Open Quantum Materials Database, functional PBE.

a = 4.4910 Å, b = 4.4910 Å, c = 4.4910 Å
α = 60.00°, β = 60.00°, γ = 60.00°
Fractional coordinates of all 4 atoms:
Ga 0.0000 0.0000 0.0000
Ni 0.5000 0.5000 0.5000
Cu 0.7500 0.7500 0.7500
Sn 0.2500 0.2500 0.2500

Arrangement B

An optimized crystal structure of GaCuNiSn. Source: the Open Quantum Materials Database, functional PBE.

a = 4.4454 Å, b = 4.4454 Å, c = 4.4454 Å
α = 60.00°, β = 60.00°, γ = 60.00°
Fractional coordinates of all 4 atoms:
Sn 0.0000 0.0000 0.0000
Ga 0.5000 0.5000 0.5000
Cu 0.7500 0.7500 0.7500
Ni 0.2500 0.2500 0.2500

What should be chosen as the most stable of them? Choose arrangement B.